SrZr (PBE-GGA, optimized geometry); DFT total energy = -4.485 eV per atom; polymorph energy (0 for the lowest one) = 363 meV per atom; total magnetization = 3.40 μB per cell
1.0
-4.478 0.308 4.045
-4.959 0.101 -5.497
-0.267 -5.688 0.137
Sr Zr
4 4
direct
0.339 0.999 0.500
0.495 0.751 0.000
0.839 0.251 0.500
0.995 0.499 0.000
0.368 0.497 0.500
0.466 0.253 0.000
0.868 0.753 0.500
0.966 0.997 0.000

SrZr3 (PBE-GGA, optimized geometry); DFT total energy = -6.425 eV per atom; total magnetization = 0.00 μB per cell
1.0
-4.271 -0.784 -5.373
-1.087 -3.375 5.798
-2.976 4.017 1.780
Sr Zr
2 6
direct
0.832 0.165 0.500
0.001 0.502 0.000
0.335 0.171 0.500
0.814 0.674 0.500
0.360 0.674 0.500
0.019 0.992 0.000
0.473 0.992 0.000
0.498 0.496 0.000

Sr3Zr4 (PBE-GGA, optimized geometry); DFT total energy = -5.077 eV per atom; polymorph energy (0 for the lowest one) = 179 meV per atom; total magnetization = 2.76 μB per cell
1.0
6.171 7.126 0.000
-3.086 8.907 0.000
0.000 0.000 5.616
Zr Sr
8 6
direct
0.095 0.524 0.500
0.605 0.138 0.000
0.709 0.400 0.000
0.429 0.857 0.000
0.971 0.034 0.000
0.553 0.347 0.500
0.918 0.243 0.500
0.815 0.981 0.500
0.129 0.281 0.000
0.395 0.100 0.500
0.853 0.733 0.000
0.220 0.824 0.500
0.304 0.557 0.000
0.671 0.648 0.500

SrZr (PBE-GGA, optimized geometry); DFT total energy = -4.848 eV per atom; polymorph energy (0 for the lowest one) = 0 meV per atom; total magnetization = 0.02 μB per cell
1.0
-4.879 -2.580 -1.563
4.147 -3.244 -7.589
1.443 -4.329 2.639
Zr Sr
4 4
direct
0.333 0.061 0.500
0.501 0.189 0.000
0.833 0.189 0.500
0.001 0.061 0.000
0.934 0.447 0.000
0.434 0.803 0.000
0.900 0.803 0.500
0.400 0.447 0.500

SrZr2 (PBE-GGA, optimized geometry); DFT total energy = -2.364 eV per atom; polymorph energy (0 for the lowest one) = 3584 meV per atom; total magnetization = 1.05 μB per cell
1.0
-3.694 4.408 6.120
-2.313 -3.816 7.114
4.140 1.559 7.138
Sr Zr
2 4
direct
0.500 0.500 0.500
0.250 0.250 0.250
0.375 0.375 0.875
0.375 0.375 0.375
0.375 0.875 0.375
0.875 0.375 0.375

SrZr (PBE-GGA, optimized geometry); DFT total energy = -4.664 eV per atom; polymorph energy (0 for the lowest one) = 184 meV per atom; total magnetization = 0.96 μB per cell
1.0
-0.622 1.730 6.420
10.334 -9.995 3.695
3.897 3.791 -0.644
Zr Sr
8 8
direct
0.460 0.500 0.500
0.768 0.637 0.500
0.565 0.137 0.000
0.873 0.001 0.000
0.460 0.250 0.500
0.768 0.113 0.500
0.565 0.613 0.000
0.873 0.749 0.000
0.262 0.713 0.500
0.785 0.875 0.500
0.548 0.375 0.000
0.394 0.875 0.000
0.939 0.375 0.500
0.071 0.213 0.000
0.262 0.037 0.500
0.071 0.537 0.000